VReGeF2: optimized geometry, PBE+U.

```
data_VReGeF2
_symmetry_space_group_name_H-M 'P 1'
_symmetry_Int_Tables_number 1
_cell_length_a 4.0190
_cell_length_b 4.0190
_cell_length_c 5.1898
_cell_angle_alpha 90.00
_cell_angle_beta 90.00
_cell_angle_gamma 90.00
loop_
_symmetry_equiv_pos_as_xyz
'x,y,z'
loop_
_atom_site_label
_atom_site_type_symbol
_atom_site_fract_x
_atom_site_fract_y
_atom_site_fract_z
_atom_site_occupancy
Ge1 Ge 0.0000 0.0000 0.5000 1
Re1 Re 0.0000 0.0000 0.0000 1
F1 F 0.5000 0.0000 0.0000 1
F2 F 0.0000 0.5000 0.0000 1
V1 V 0.5000 0.5000 0.5000 1
```

Results
Magnetization   2.317 μB per formula unit
Uncorrected energy   -5.488 eV/atom